The following is a GGA+U calculation of a geometry-optimized PaCoPt2O8 structure, from Alexandria.

Crystal system: tetragonal
VASP energy: -6.5957 eV/atom

Cell: 6.869 6.869 6.881 Å, 90.00 90.00 90.00°
Space group I-4m2 (No. 119)
Asymmetric unit:
1 Pa 0.000 0.000 0.000 [2 per cell]
2 Co 0.000 0.500 0.250 [2 per cell]
3 Pt 0.000 0.000 0.500 [2 per cell]
4 Pt 0.000 0.500 0.750 [2 per cell]
5 O 0.000 0.180 0.284 [8 per cell]
6 O 0.000 0.327 0.971 [8 per cell]